(1)
{"formula": "MgPSeCl2", "functional": "PBE-GGA", "state": "optimized geometry", "lattice": [[4.888, 0.000, 0.000], [0.000, 4.888, 0.000], [0.000, 0.000, 5.175]], "species": ["Cl", "Cl", "Mg", "Se", "P"], "fractional_positions": [[0.500, 0.000, 0.000], [0.000, 0.500, 0.000], [0.500, 0.500, 0.500], [0.000, 0.000, 0.000], [0.000, 0.000, 0.500]], "e_tot_ev_per_cell": -13.10, "sg": "No. 123", "dos_at_fermi_per_ev_atom": 0.42, "magnetic_moment_mub_per_atom": 0.00}

(2)
{"formula": "MgSnPCl2", "functional": "PBE-GGA", "state": "optimized geometry", "lattice": [[-1.775, -2.925, -3.164], [1.445, -3.628, 2.543], [-4.840, -0.015, 2.729]], "species": ["Mg", "Cl", "Cl", "Sn", "P"], "fractional_positions": [[0.000, 0.000, 0.000], [0.000, 0.500, 0.000], [0.500, 0.000, 0.000], [0.500, 0.500, 0.500], [0.000, 0.000, 0.500]], "e_tot_ev_per_cell": -17.12, "sg": "No. 123", "dos_at_fermi_per_ev_atom": 0.52, "magnetic_moment_mub_per_atom": 0.00}

(3)
{"formula": "MgSnPCl2", "functional": "PBE-GGA", "state": "optimized geometry", "lattice": [[5.158, 0.000, 0.000], [0.000, 5.158, 0.000], [0.000, 0.000, 5.266]], "species": ["Cl", "Cl", "P", "Sn", "Mg"], "fractional_positions": [[0.500, 0.000, 0.000], [0.000, 0.500, 0.000], [0.000, 0.000, 0.500], [0.000, 0.000, 0.000], [0.500, 0.500, 0.500]], "e_tot_ev_per_cell": -15.28, "sg": "No. 123", "dos_at_fermi_per_ev_atom": 0.12, "magnetic_moment_mub_per_atom": 0.00}

(4)
{"formula": "MgSnP2Cl", "functional": "PBE-GGA", "state": "optimized geometry", "lattice": [[-1.875, 3.721, -2.603], [-1.818, -3.196, -3.259], [-4.108, -0.277, 2.564]], "species": ["P", "P", "Mg", "Sn", "Cl"], "fractional_positions": [[0.000, 0.500, 0.000], [0.500, 0.000, 0.000], [0.000, 0.000, 0.000], [0.500, 0.500, 0.500], [0.000, 0.000, 0.500]], "e_tot_ev_per_cell": -17.08, "sg": "No. 123", "dos_at_fermi_per_ev_atom": 0.94, "magnetic_moment_mub_per_atom": 0.00}